1.
Material: BeRu2Pt
Method: DFT, GGA-PBE
State: relaxed

Calculated values
Energy of formation ... -2.7 kcal/mol of atoms

Cell and atoms, written as CIF:
```
data_BeRu2Pt
_space_group_name_H-M_alt 'I m m m'
_space_group_IT_number 71
_space_group_name_Hall '-I 2 2'
_cell_length_a 2.765
_cell_length_b 4.223
_cell_length_c 8.847
_cell_angle_alpha 90.00
_cell_angle_beta 90.00
_cell_angle_gamma 90.00
loop_
_atom_site_label
_atom_site_type_symbol
_atom_site_fract_x
_atom_site_fract_y
_atom_site_fract_z
Be1 Be 0.000 0.000 0.000
Ru1 Ru 0.000 0.500 0.288
Pt1 Pt 0.000 0.000 0.500
```

***

2.
Material: AuSeNF2
Method: DFT, GGA-PBE
State: relaxed

Calculated values
ΔE_f (raw) ... 0.581 eV/atom
ΔE to the lowest computed polymorph ... 0.3124 eV/atom

Cell and atoms, written as CIF:
```
data_AuSeNF2
_space_group_name_H-M_alt 'P 4/m m m'
_space_group_IT_number 123
_space_group_name_Hall '-P 4 2'
_cell_length_a 4.437
_cell_length_b 4.437
_cell_length_c 4.041
_cell_angle_alpha 90.00
_cell_angle_beta 90.00
_cell_angle_gamma 90.00
loop_
_atom_site_label
_atom_site_type_symbol
_atom_site_fract_x
_atom_site_fract_y
_atom_site_fract_z
Au1 Au 0.000 0.000 0.000
Se1 Se 0.500 0.500 0.500
N1 N 0.000 0.000 0.500
F1 F 0.000 0.500 0.000
```

***

3.
Material: SmBe6Au12
Method: DFT, GGA-PBE
State: relaxed

Calculated values
Energy of formation ... -1.8 kcal/mol of atoms

Cell and atoms, written as CIF:
```
data_SmBe6Au12
_space_group_name_H-M_alt 'I m -3'
_space_group_IT_number 204
_space_group_name_Hall '-I 2 2 3'
_cell_length_a 8.549
_cell_length_b 8.549
_cell_length_c 8.549
_cell_angle_alpha 90.00
_cell_angle_beta 90.00
_cell_angle_gamma 90.00
loop_
_atom_site_label
_atom_site_type_symbol
_atom_site_fract_x
_atom_site_fract_y
_atom_site_fract_z
Sm1 Sm 0.000 0.000 0.000
Be1 Be 0.000 0.128 0.500
Au1 Au 0.000 0.312 0.173
```

***

4.
Material: HRh2Pb
Method: DFT, GGA-PBE
State: relaxed

Calculated values
ΔE to the lowest computed polymorph ... 0.5012 eV/atom

Cell and atoms, written as CIF:
```
data_HRh2Pb
_space_group_name_H-M_alt 'F m -3 m'
_space_group_IT_number 225
_space_group_name_Hall '-F 4 2 3'
_cell_length_a 6.211
_cell_length_b 6.211
_cell_length_c 6.211
_cell_angle_alpha 90.00
_cell_angle_beta 90.00
_cell_angle_gamma 90.00
loop_
_atom_site_label
_atom_site_type_symbol
_atom_site_fract_x
_atom_site_fract_y
_atom_site_fract_z
H1 H 0.000 0.000 0.000
Rh1 Rh 0.250 0.250 0.250
Pb1 Pb 0.000 0.000 0.500
```

***

5.
Material: Ba2LiAl
Method: DFT, GGA-PBE
State: relaxed

Calculated values
Energy of formation ... -0.1 kcal/mol of atoms

Cell and atoms, written as CIF:
```
data_Ba2LiAl
_space_group_name_H-M_alt 'C 1 m 1'
_space_group_IT_number 8
_space_group_name_Hall 'C -2y'
_cell_length_a 13.323
_cell_length_b 4.114
_cell_length_c 5.959
_cell_angle_alpha 90.00
_cell_angle_beta 116.24
_cell_angle_gamma 90.00
loop_
_atom_site_label
_atom_site_type_symbol
_atom_site_fract_x
_atom_site_fract_y
_atom_site_fract_z
Ba1 Ba 0.000 0.000 0.000
Ba2 Ba 0.195 0.000 0.693
Li1 Li 0.292 0.500 0.290
Al1 Al 0.448 0.000 0.448
```

***

6.
Material: Y2Al6Pd
Method: DFT, GGA-PBE
State: relaxed

Calculated values
Energy of formation ... -12.8 kcal/mol of atoms

Cell and atoms, written as CIF:
```
data_Y2Al6Pd
_space_group_name_H-M_alt 'P -3 m 1'
_space_group_IT_number 164
_space_group_name_Hall '-P 3 2"'
_cell_length_a 5.8219
_cell_length_b 5.8219
_cell_length_c 5.8889
_cell_angle_alpha 90.00
_cell_angle_beta 90.00
_cell_angle_gamma 120.00
loop_
_atom_site_label
_atom_site_type_symbol
_atom_site_fract_x
_atom_site_fract_y
_atom_site_fract_z
Y1 Y 0.3333 0.6667 0.1371
Al1 Al 0.1735 0.3470 0.6786
Pd1 Pd 0.0000 0.0000 0.0000
```

***

7.
Material: Np2RuRh
Method: DFT, GGA-PBE
State: relaxed

Calculated values
Energy of formation ... 5.3 kcal/mol of atoms

Cell and atoms, written as CIF:
```
data_Np2RuRh
_space_group_name_H-M_alt 'R -3 m'
_space_group_IT_number 166
_space_group_name_Hall '-R 3 2"'
_cell_length_a 2.8704
_cell_length_b 2.8704
_cell_length_c 30.0731
_cell_angle_alpha 90.00
_cell_angle_beta 90.00
_cell_angle_gamma 120.00
loop_
_atom_site_label
_atom_site_type_symbol
_atom_site_fract_x
_atom_site_fract_y
_atom_site_fract_z
Np1 Np 0.0000 0.0000 0.0865
Ru1 Ru 0.0000 0.0000 0.5000
Rh1 Rh 0.0000 0.0000 0.0000
```

***

8.
Material: Tb2ErTm
Method: DFT, GGA-PBE
State: relaxed

Calculated values
Energy of formation ... 0.5 kcal/mol of atoms
ΔE to the lowest computed polymorph ... 0.0184 eV/atom

Cell and atoms, written as CIF:
```
data_Tb2ErTm
_space_group_name_H-M_alt 'P 4/m m m'
_space_group_IT_number 123
_space_group_name_Hall '-P 4 2'
_cell_length_a 4.988
_cell_length_b 4.988
_cell_length_c 4.967
_cell_angle_alpha 90.00
_cell_angle_beta 90.00
_cell_angle_gamma 90.00
loop_
_atom_site_label
_atom_site_type_symbol
_atom_site_fract_x
_atom_site_fract_y
_atom_site_fract_z
Tb1 Tb 0.000 0.500 0.000
Er1 Er 0.000 0.000 0.500
Tm1 Tm 0.500 0.500 0.500
```